1.
Compound: Zr2SbHPt
Source: Alexandria via LeMat-Bulk
Functional: PBE
Structure: relaxed

* magnetic moment: 1.14 μB/cell
* electronic total energy: -4.928 eV per atom
* space-group type: P4/mmm (123)

Cell and atoms, written as POSCAR:
```
Zr2SbHPt
1.0
5.3977 0.0000 0.0000
0.0000 4.8667 0.0000
0.0000 0.0000 5.3977
Zr H Pt Sb
2 1 1 1
Cartesian
0.0000 0.0000 2.6988 Zr
2.6988 0.0000 0.0000 Zr
2.6988 2.4333 2.6988 H
0.0000 2.4333 0.0000 Pt
0.0000 0.0000 0.0000 Sb
```

---

2.
Compound: UBe2I8
Source: Alexandria via LeMat-Bulk
Functional: PBE
Structure: relaxed

* uncorrected formation energy: -0.610 eV per atom
* magnetic moment: 2.00 μB/cell
* electronic total energy: -3.441 eV per atom
* space-group type: C2/m (12)

Cell and atoms, written as POSCAR:
```
UBe2I8
1.0
-5.4370 3.5989 -5.5770
0.3413 -8.9402 -2.0206
-5.5675 0.8713 6.4699
Be I U
2 8 1
Cartesian
-8.8340 -2.0430 -0.5583 Be
-1.8293 -2.4270 -0.5693 Be
-3.0152 -0.2541 -0.0902 I
-7.6480 -4.2158 -1.0374 I
-4.8519 -3.5718 -5.1728 I
-7.5234 -0.2431 -0.1366 I
-5.8114 -0.8982 4.0452 I
-3.1399 -4.2269 -0.9911 I
-4.9408 -5.4288 3.0288 I
-5.7225 0.9588 -4.1564 I
0.0000 0.0000 0.0000 U
```

---

3.
Compound: Li3Mg6Ag2
Source: Alexandria via LeMat-Bulk
Functional: PBE
Structure: relaxed

* magnetic moment: 0.00 μB/cell
* energy of formation: 1.8 eV per formula unit
* electronic total energy: -1.747 eV per atom
* space-group type: P-62m (189)

Cell and atoms, written as POSCAR:
```
Li3Mg6Ag2
1.0
-2.6913 -3.4238 -2.3879
2.3931 -5.1189 4.6424
-6.0994 3.7416 1.5097
Li Mg Ag
3 6 2
Cartesian
-2.5122 -0.9963 -0.9052 Li
-0.8880 -2.6909 -0.3061 Li
-4.3431 -2.8258 3.7815 Li
-1.5027 0.9218 0.3720 Mg
-2.7931 -1.0380 4.6364 Mg
-4.7583 0.3816 -0.3492 Mg
0.5896 -1.2612 1.1438 Mg
-0.0067 -4.5760 1.4035 Mg
-2.9782 -2.3186 1.5160 Mg
-0.4377 -2.1654 3.5981 Ag
-3.2686 0.7881 2.5539 Ag
```

---

4.
Compound: ScU2Se5
Source: Alexandria via LeMat-Bulk
Functional: PBE
Structure: relaxed

* uncorrected formation energy: -0.685 eV per atom
* magnetic moment: 5.59 μB/cell
* electronic total energy: -6.476 eV per atom
* space-group type: P4/mmm (123)

Cell and atoms, written as POSCAR:
```
ScU2Se5
1.0
4.6200 0.0000 0.0000
0.0000 6.7869 0.0000
0.0000 0.0000 6.7869
Se Sc U
5 1 2
Cartesian
0.0000 4.9216 4.9216 Se
0.0000 1.8653 4.9216 Se
0.0000 1.8653 1.8653 Se
0.0000 4.9216 1.8653 Se
2.3100 0.0000 0.0000 Se
0.0000 0.0000 0.0000 Sc
2.3100 0.0000 3.3934 U
2.3100 3.3934 0.0000 U
```

---

5.
Compound: Rb2LiTiCu
Source: Alexandria via LeMat-Bulk
Functional: PBE
Structure: relaxed

* magnetic moment: 0.24 μB/cell
* energy of formation: 5.7 eV per formula unit
* electronic total energy: -2.024 eV per atom
* space-group type: P4/mmm (123)

Cell and atoms, written as POSCAR:
```
Rb2LiTiCu
1.0
6.7217 0.0000 0.0000
0.0000 4.5454 0.0000
0.0000 0.0000 6.7217
Li Cu Ti Rb
1 1 1 2
Cartesian
0.0000 0.0000 0.0000 Li
0.0000 2.2727 0.0000 Cu
3.3608 2.2727 3.3608 Ti
0.0000 0.0000 3.3608 Rb
3.3608 0.0000 0.0000 Rb
```

---

6.
Compound: RbSr2Cr2
Source: Alexandria via LeMat-Bulk
Functional: PBE
Structure: relaxed

* magnetic moment: 0.00 μB/cell
* energy of formation: 4.7 eV per formula unit
* distance to the lowest polymorph of the same formula: 7.35 kJ/mol of atoms
* electronic total energy: -3.784 eV per atom
* space-group type: I4/mmm (139)

Cell and atoms, written as POSCAR:
```
RbSr2Cr2
1.0
6.3035 0.0000 0.0000
0.0000 6.3035 0.0000
3.1517 3.1517 4.8590
Sr Rb Cr
2 1 2
Cartesian
6.3035 3.1517 2.4295 Sr
3.1517 6.3035 2.4295 Sr
0.0000 0.0000 0.0000 Rb
3.1517 3.1517 0.8652 Cr
6.3035 6.3035 3.9938 Cr
```

---

7.
Compound: BeCuSi
Source: Alexandria via LeMat-Bulk
Functional: PBE
Structure: relaxed

* uncorrected formation energy: 0.076 eV per atom
* magnetic moment: 0.00 μB/cell
* distance to the lowest polymorph of the same formula: 3.24 kJ/mol of atoms
* electronic total energy: -4.339 eV per atom
* space-group type: Pm (6)

Cell and atoms, written as POSCAR:
```
BeCuSi
1.0
3.5384 0.0000 -0.0034
0.0000 3.6441 0.0642
0.0067 0.1043 5.5139
Si Cu Be
2 2 2
Cartesian
2.0220 2.3865 5.1209 Si
0.2501 0.6672 1.7898 Si
2.0200 0.6121 3.5545 Cu
2.0185 2.4824 1.9031 Cu
0.2520 0.5467 5.0531 Be
0.2512 2.4351 3.5330 Be
```

---

8.
Compound: Ag2MoBr6
Source: Alexandria via LeMat-Bulk
Functional: PBE
Structure: relaxed

* uncorrected formation energy: -0.393 eV per atom
* magnetic moment: 3.99 μB/cell
* electronic total energy: -3.345 eV per atom
* space-group type: P2_1/c (14)

Cell and atoms, written as POSCAR:
```
Ag2MoBr6
1.0
7.0173 0.0000 -0.6849
0.0000 7.2174 0.0000
0.4050 0.0000 10.8086
Br Ag Mo
12 4 2
Cartesian
2.6526 3.9596 2.0671 Br
6.1741 5.0232 4.0204 Br
4.7697 3.2579 8.0565 Br
5.0157 1.2473 4.1374 Br
1.2482 2.1943 6.1032 Br
4.5544 1.4144 0.3564 Br
1.0586 0.3509 2.9947 Br
2.4066 5.9702 5.9863 Br
5.7127 4.8560 0.2395 Br
1.7096 2.3614 9.8841 Br
6.3638 6.8666 7.1289 Br
2.8680 5.8030 9.7672 Br
3.7751 1.0940 6.7403 Ag
0.0639 2.5148 1.6784 Ag
3.6472 6.1235 3.3834 Ag
7.3584 4.7027 8.4452 Ag
3.5086 3.6087 -0.3425 Mo
0.2025 0.0000 5.4043 Mo
```

---

9.
Compound: NbCu3F
Source: Alexandria via LeMat-Bulk
Functional: PBE
Structure: relaxed

* uncorrected formation energy: 0.453 eV per atom
* magnetic moment: 3.23 μB/cell
* distance to the lowest polymorph of the same formula: 0.00 kJ/mol of atoms
* electronic total energy: -4.393 eV per atom
* space-group type: Pm-3m (221)

Cell and atoms, written as POSCAR:
```
NbCu3F
1.0
4.1639 0.0000 0.0000
0.0000 4.1639 0.0000
0.0000 0.0000 4.1639
Cu F Nb
3 1 1
Cartesian
2.0820 0.0000 0.0000 Cu
0.0000 0.0000 2.0820 Cu
0.0000 2.0820 0.0000 Cu
0.0000 0.0000 0.0000 F
2.0820 2.0820 2.0820 Nb
```

---

10.
Compound: LaCe2Ir
Source: Alexandria via LeMat-Bulk
Functional: PBE
Structure: relaxed

* magnetic moment: 0.02 μB/cell
* energy of formation: -1.3 eV per formula unit
* distance to the lowest polymorph of the same formula: 10.46 kJ/mol of atoms
* electronic total energy: -6.728 eV per atom
* space-group type: P4/mmm (123)

Cell and atoms, written as POSCAR:
```
LaCe2Ir
1.0
3.6542 0.0000 0.0000
0.0000 3.6542 0.0000
0.0000 0.0000 7.7822
Ce La Ir
2 1 1
Cartesian
0.0000 0.0000 6.2739 Ce
0.0000 0.0000 1.5082 Ce
1.8271 1.8271 3.8911 La
1.8271 1.8271 0.0000 Ir
```

---

11.
Compound: SrLa2SnRh
Source: Alexandria via LeMat-Bulk
Functional: PBE
Structure: relaxed

* magnetic moment: 0.00 μB/cell
* energy of formation: -2.5 eV per formula unit
* distance to the lowest polymorph of the same formula: 0.00 kJ/mol of atoms
* electronic total energy: -5.072 eV per atom
* space-group type: P4/mmm (123)

Cell and atoms, written as POSCAR:
```
SrLa2SnRh
1.0
-1.4558 2.5273 -4.6226
-5.2103 0.0194 1.6515
0.8159 5.0695 2.5146
La Rh Sn Sr
2 1 1 1
Cartesian
-0.7279 1.2636 -2.3113 La
-2.6051 0.0097 0.8257 La
0.0000 0.0000 0.0000 Rh
-2.9250 3.8081 -0.2282 Sn
0.4080 2.5347 1.2573 Sr
```

---

12.
Compound: Sr2Cd4Ga3Ag
Source: Alexandria via LeMat-Bulk
Functional: PBE
Structure: relaxed

* magnetic moment: 0.00 μB/cell
* energy of formation: -2.7 eV per formula unit
* electronic total energy: -2.164 eV per atom
* space-group type: P-4m2 (115)

Cell and atoms, written as POSCAR:
```
Sr2Cd4Ga3Ag
1.0
4.6608 0.0000 0.0000
0.0000 4.6608 0.0000
0.0000 0.0000 11.4454
Ag Ga Cd Sr
1 3 4 2
Cartesian
2.3304 2.3304 5.7227 Ag
0.0000 2.3304 1.5509 Ga
0.0000 0.0000 5.7227 Ga
2.3304 0.0000 9.8946 Ga
0.0000 0.0000 0.0000 Cd
2.3304 2.3304 0.0000 Cd
0.0000 2.3304 4.2088 Cd
2.3304 0.0000 7.2366 Cd
0.0000 2.3304 8.5701 Sr
2.3304 0.0000 2.8753 Sr
```